1.
DFT (PBE-GGA) results for a relaxed CeErAl2 crystal.

ΔH_f (0 K) = -1.179 eV/f.u.

Cell lengths 4.182, 4.753, 4.753 Å; angles 90.00, 90.00, 90.00 degrees
Each line ends with the local moment (μB).
Element x y z (fractional)
Al 0.000 0.500 0.000  0.00
Ce 0.500 0.000 0.000  0.34
Er 0.500 0.500 0.500  0.02
Al 0.000 0.000 0.500  0.00

---

2.
DFT (PBE-GGA) results for a relaxed CdRuAu2 crystal.

ΔH_f (0 K) = 1.035 eV/f.u.

Cell lengths 3.340, 3.340, 6.318 Å; angles 90.00, 90.00, 90.00 degrees
Each line ends with the local moment (μB).
Element x y z (fractional)
Au 0.500 0.500 0.246  -0.01
Au 0.000 0.000 0.988  0.08
Cd 0.000 0.000 0.507  -0.01
Ru 0.500 0.500 0.759  0.93

---

3.
DFT (PBE-GGA) results for a relaxed PmCuP2O8 crystal.

formation energy without anion corrections = -196 kJ/mol of atoms

Cell lengths 5.820, 5.820, 5.820 Å; angles 105.68, 105.68, 117.36 degrees
Each line ends with the local moment (μB).
Element x y z (fractional)
O 0.767 0.092 0.675  0.13
O 0.908 0.233 0.325  0.13
O 0.494 0.663 0.830  0.18
P 0.500 0.500 0.000  -0.01
O 0.418 0.092 0.325  0.13
O 0.833 0.663 0.170  0.18
Cu 0.000 0.000 0.000  0.65
P 0.750 0.250 0.500  -0.01
Pm 0.250 0.750 0.500  0.00
O 0.337 0.167 0.830  0.18
O 0.908 0.582 0.675  0.13
O 0.337 0.506 0.170  0.18

---

Number 1: energy -19.2 eV/cell. Number 2: energy -15.7 eV/cell. Number 3: energy -83.7 eV/cell.